A crystal of GaAg3H relaxed with PBEsol, computed with SCAN.

abc: 4.104 4.104 4.104
angles: 90.00 90.00 90.00
Fractional coordinates of all 5 atoms:
Ga (0.000, 0.000, 0.000)
Ag (0.000, 0.500, 0.500)
Ag (0.500, 0.000, 0.500)
Ag (0.500, 0.500, 0.000)
H (0.500, 0.500, 0.500)

The value obtained for the total moment is 0.00 μB per cell. The density of states at the Fermi level comes out at 1.5 states/eV/cell. The calculated total energy comes out at -112.7 eV for the cell shown. For the volume, the calculation gives 69 Å³ per cell.


A crystal of BeNb3Br relaxed with PBEsol, computed with SCAN.

abc: 4.471 4.471 4.471
angles: 90.00 90.00 90.00
Fractional coordinates of all 5 atoms:
Be (0.000, 0.000, 0.000)
Nb (0.000, 0.000, 0.500)
Nb (0.000, 0.500, 0.000)
Nb (0.500, 0.000, 0.000)
Br (0.500, 0.500, 0.500)

The value obtained for the total moment is 0.00 μB per cell. The density of states at the Fermi level comes out at 4.6 states/eV/cell. For the volume, the calculation gives 89 Å³ per cell. The value obtained for the formation energy (no corrections) is 961 meV/atom.